## LaPt5Pb (GGA-PBE)

Data for crystalline LaPt5Pb at its relaxed geometry.

The structure in CIF format:
```
data_LaPt5Pb
_chemical_formula_sum 'La4 Pt20 Pb4'
_cell_length_a 9.0758
_cell_length_b 5.4639
_cell_length_c 11.1434
_cell_angle_alpha 90.00
_cell_angle_beta 90.00
_cell_angle_gamma 90.00
_space_group_name_H-M_alt 'P n m a'
_space_group_IT_number 62
loop_
_space_group_symop_operation_xyz
'x,y,z'
'-x,-y,-z'
'-x+1/2,-y,z+1/2'
'x+1/2,y,-z+1/2'
'x+1/2,-y+1/2,-z+1/2'
'-x+1/2,y+1/2,z+1/2'
'-x,y+1/2,-z'
'x,-y+1/2,z'
loop_
_atom_site_label
_atom_site_fract_x
_atom_site_fract_y
_atom_site_fract_z
La1 0.2476 0.2500 0.0590
Pt1 0.0447 0.2500 0.5883
Pt2 0.0713 0.5028 0.8013
Pt3 0.0742 0.7500 0.0119
Pt4 0.1857 0.7500 0.2379
Pb1 0.1439 0.2500 0.3588
```

Properties
**Energy relative to the elements**: -4.104 eV per formula unit
**Electronic total energy**: -6.1348 eV per atom



## Cs2SiMoCl6 (GGA-PBE)

Data for crystalline Cs2SiMoCl6 at its relaxed geometry.

The structure in CIF format:
```
data_Cs2SiMoCl6
_chemical_formula_sum 'Cs4 Si2 Mo2 Cl12'
_cell_length_a 7.4071
_cell_length_b 7.4071
_cell_length_c 10.5016
_cell_angle_alpha 90.00
_cell_angle_beta 90.00
_cell_angle_gamma 90.00
_space_group_name_H-M_alt 'I 4/m m m'
_space_group_IT_number 139
_space_group_name_Hall '-I 4 2'
loop_
_atom_site_label
_atom_site_fract_x
_atom_site_fract_y
_atom_site_fract_z
Cs1 0.0000 0.5000 0.2500
Si1 0.0000 0.0000 0.0000
Mo1 0.0000 0.0000 0.5000
Cl1 0.0000 0.0000 0.2550
Cl2 0.2449 0.2449 0.5000
```

Properties
**Electronic total energy**: -3.9777 eV per atom